(1)
MgRh2Br | the Alexandria database | PBE | optimized geometry; ΔE_f (raw) = -0.0709 eV per atom; energy = -4.5634 eV per atom; ΔE to the lowest computed polymorph = 0 meV per atom
1.0
3.194 0.000 0.000
0.000 3.315 0.000
-1.588 0.000 6.946
Mg Rh Br
1 2 1
direct
0.000 0.000 0.000
0.204 0.000 0.410
0.619 0.500 0.238
0.365 0.500 0.734

(2)
MgRhBr2 | the Alexandria database | PBE | optimized geometry; ΔE_f (raw) = -0.4386 eV per atom; energy = -3.5115 eV per atom; ΔE to the lowest computed polymorph = 40 meV per atom
1.0
8.148 0.000 0.000
0.000 3.788 0.000
-0.934 0.000 7.391
Mg Rh Br
2 2 4
direct
0.000 0.000 0.000
0.500 0.500 0.000
0.224 0.500 0.123
0.724 0.000 0.123
0.109 0.500 0.787
0.286 0.000 0.331
0.609 0.000 0.787
0.786 0.500 0.331

(3)
MgRh2Br | the Alexandria database | PBE | optimized geometry; ΔE_f (raw) = 0.1146 eV per atom; energy = -4.3780 eV per atom; ΔE to the lowest computed polymorph = 185 meV per atom
1.0
3.198 0.000 0.000
0.000 3.198 0.000
0.000 0.000 6.389
Mg Rh Br
1 2 1
direct
0.000 0.000 0.000
0.500 0.500 0.237
0.500 0.500 0.763
0.000 0.000 0.500